This record from Alexandria describes a geometry-optimized CrBiClO4 structure. The functional is PBE with a Hubbard U.

Space group: C2/m, No. 12
M_tot in μB per cell: 0.000
Uncorrected energy in eV/cell: -82.5

Cell lengths 6.310, 6.310, 6.847 Å; angles 77.66, 77.66, 71.13 degrees
Sites, in units of the cell vectors:
Cr 0.641 0.641 0.728
Cr 0.359 0.359 0.272
O 0.278 0.278 0.515
O 0.868 0.506 0.849
O 0.506 0.868 0.849
O 0.478 0.478 0.754
O 0.494 0.132 0.151
O 0.132 0.494 0.151
O 0.522 0.522 0.246
O 0.722 0.722 0.485
Bi 0.784 0.784 0.129
Bi 0.216 0.216 0.871
Cl 0.016 0.016 0.237
Cl 0.984 0.984 0.763